Below is a relaxed CaPOF2 crystal, with properties calculated at the PBE-GGA level.

Cell: 4.223 4.223 4.775 Å, 90.00 90.00 90.00°
Sites, in units of the cell vectors:
P: 0.500 0.500 0.500
O: 0.000 0.000 0.500
Ca: 0.000 0.000 0.000
F: 0.500 0.000 0.000
F: 0.000 0.500 0.000

The value obtained for the volume is 17.0 A^3/atom. As for the total magnetic moment: 1.00 μB per formula unit. The uncorrected formation energy is -126.2 kJ/mol of atoms. The value obtained for the calculated density is 2.44 Mg/m³.